Entry 1:
# Na3ScBr6

An optimized crystal structure of Na3ScBr6 (PBE, Alexandria).

Calculated values
* Fermi-level density of states: 0.000 states/eV/cell
* energy relative to the elements, uncorrected: -1.604 eV/atom
* energy above the most stable polymorph in this dataset: 0.017 eV per atom

Lattice parameters (Å, degrees): 7.1598 7.6401 10.6549 90.00 90.17 90.00
With the nearest neighbours (Å) after each atom.
Positions (direct):
Sc 0.5000 0.5000 0.5000  6 Br 2.65-2.69
Sc 0.0000 0.0000 0.0000  6 Br 2.65-2.69
Na 0.9640 0.4092 0.7467  6 Br 3.03-3.27
Na 0.0000 0.0000 0.5000  6 Br 2.93-3.06
Na 0.0360 0.5908 0.2533  6 Br 3.03-3.27
Na 0.5360 0.9092 0.7533  6 Br 3.03-3.27
Na 0.5000 0.5000 0.0000  6 Br 2.93-3.06
Na 0.4640 0.0908 0.2467  6 Br 3.03-3.27
Br 0.3021 0.8219 0.0680  1 Sc 2.65, 1 Na 2.93
Br 0.6979 0.1781 0.9320  1 Sc 2.65, 1 Na 2.93
Br 0.8021 0.6781 0.5680  1 Sc 2.65, 1 Na 2.93
Br 0.6653 0.2032 0.5745  1 Sc 2.68, 1 Na 2.97
Br 0.1653 0.2968 0.0745  1 Sc 2.68, 1 Na 2.97
Br 0.3594 0.5507 0.7310  1 Sc 2.69
Br 0.1406 0.0507 0.7690  1 Sc 2.69
Br 0.8347 0.7032 0.9255  1 Sc 2.68, 1 Na 2.97
Br 0.3347 0.7968 0.4255  1 Sc 2.68, 1 Na 2.97
Br 0.8594 0.9493 0.2310  1 Sc 2.69
Br 0.6406 0.4493 0.2690  1 Sc 2.69
Br 0.1979 0.3219 0.4320  1 Sc 2.65, 1 Na 2.93

***

Entry 2:
# NaSc4Br8

An optimized crystal structure of NaSc4Br8 (PBE, Alexandria).

Calculated values
* Fermi-level density of states: 8.382 states/eV/cell
* energy relative to the elements, uncorrected: -1.424 eV/atom

Lattice parameters (Å, degrees): 7.5135 7.5135 8.3404 100.64 106.28 118.94
With the nearest neighbours (Å) after each atom.
Positions (direct):
Br 0.3106 0.4987 0.8093  3 Sc 2.87-2.92, 1 Na 2.96
Br 0.2253 0.0487 0.2740  3 Sc 2.70-2.73
Br 0.6988 0.0204 0.2285  3 Sc 2.74-2.81
Br 0.7747 0.9513 0.7260  3 Sc 2.70-2.73
Br 0.6894 0.5013 0.1907  3 Sc 2.87-2.92, 1 Na 2.96
Br 0.7919 0.4703 0.7715  3 Sc 2.74-2.81
Br 0.3012 0.9796 0.7715  3 Sc 2.74-2.81
Br 0.2081 0.5297 0.2285  3 Sc 2.74-2.81
Sc 0.7999 0.7999 0.0000  6 Br 2.73-2.92, 1 Sc 3.06
Sc 0.2001 0.2001 0.0000  6 Br 2.73-2.92, 1 Sc 3.06
Sc 0.7676 0.2180 0.9855  6 Br 2.70-2.87
Sc 0.2324 0.7820 0.0145  6 Br 2.70-2.87
Na 0.0000 0.5000 0.5000  6 Br 2.96-3.08

***

Entry 3:
# NaSc2Br

An optimized crystal structure of NaSc2Br (PBE, Alexandria).

Calculated values
* Fermi-level density of states: 7.711 states/eV/cell
* energy relative to the elements, uncorrected: -0.118 eV/atom
* energy above the most stable polymorph in this dataset: 0.000 eV per atom

Lattice parameters (Å, degrees): 11.1204 11.1204 11.1204 17.42 17.42 17.42
With the nearest neighbours (Å) after each atom.
Positions (direct):
Na 0.0000 0.0000 0.0000  2 Sc 3.28, 6 Na 3.37
Sc 0.9001 0.9001 0.9001  3 Br 2.93, 1 Na 3.28
Sc 0.0999 0.0999 0.0999  3 Br 2.93, 1 Na 3.28
Br 0.5000 0.5000 0.5000  6 Sc 2.93

***

Entry 4:
# Na2ScBr4

An optimized crystal structure of Na2ScBr4 (PBE, Alexandria).

Calculated values
* Fermi-level density of states: 3.491 states/eV/cell
* energy relative to the elements, uncorrected: -1.175 eV/atom
* energy above the most stable polymorph in this dataset: 0.287 eV per atom

Lattice parameters (Å, degrees): 5.0991 5.0991 11.8104 77.53 77.53 90.00
With the nearest neighbours (Å) after each atom.
Positions (direct):
Br 0.3174 0.3174 0.3652  1 Na 2.77
Br 0.6826 0.6826 0.6348  1 Na 2.77
Br 0.0000 0.5000 0.0000  2 Sc 2.55
Br 0.5000 0.0000 0.0000  2 Sc 2.55
Na 0.1944 0.1944 0.6111  1 Br 2.77
Na 0.8056 0.8056 0.3889  1 Br 2.77
Sc 0.0000 0.0000 0.0000  4 Br 2.55

***

Entry 5:
# Na2ScBr4

An optimized crystal structure of Na2ScBr4 (PBE, Alexandria).

Calculated values
* Fermi-level density of states: 3.813 states/eV/cell
* energy relative to the elements, uncorrected: -1.462 eV/atom
* energy above the most stable polymorph in this dataset: 0.000 eV per atom

Lattice parameters (Å, degrees): 4.0593 7.6129 8.0172 121.11 104.66 90.00
With the nearest neighbours (Å) after each atom.
Positions (direct):
Br 0.3697 0.7270 0.7394  2 Sc 2.83, 3 Na 3.03-3.16
Br 0.8901 0.1832 0.7802  1 Sc 2.72, 3 Na 2.88-3.01
Br 0.6303 0.2730 0.2606  2 Sc 2.83, 3 Na 3.03-3.16
Br 0.1099 0.8168 0.2198  1 Sc 2.72, 3 Na 2.88-3.01
Sc 0.0000 0.0000 0.0000  6 Br 2.72-2.83
Na 0.7157 0.7359 0.4315  6 Br 2.88-3.16
Na 0.2843 0.2641 0.5685  6 Br 2.88-3.16

***

Entry 6:
# NaSc2SeBr

An optimized crystal structure of NaSc2SeBr (PBE, Alexandria).

Calculated values
* Fermi-level density of states: 6.024 states/eV/cell
* energy relative to the elements, uncorrected: -0.448 eV/atom

Lattice parameters (Å, degrees): 5.0900 5.7556 5.0900 90.00 90.00 90.00
With the nearest neighbours (Å) after each atom.
Positions (direct):
Na 0.0000 0.5000 0.0000  2 Se 2.88
Se 0.0000 0.0000 0.0000  4 Sc 2.55
Br 0.5000 0.5000 0.5000  4 Na 3.60, 8 Sc 3.84
Sc 0.0000 0.0000 0.5000  2 Se 2.55
Sc 0.5000 0.0000 0.0000  2 Se 2.55

***

Entry 7:
# NaScSn2Br8

An optimized crystal structure of NaScSn2Br8 (PBE, Alexandria).

Calculated values
* Fermi-level density of states: 0.000 states/eV/cell
* energy relative to the elements, uncorrected: -1.184 eV/atom

Lattice parameters (Å, degrees): 7.0648 6.6949 8.5636 89.99 90.01 88.45
With the nearest neighbours (Å) after each atom.
Positions (direct):
Sn 0.4998 0.5000 0.2475  6 Br 2.88-3.15
Sn 0.5002 0.5000 0.7525  6 Br 2.88-3.15
Br 0.1490 0.7698 0.2277  1 Sc 2.68, 1 Na 2.97
Br 0.8510 0.2302 0.7723  1 Sc 2.68, 1 Na 2.97
Br 0.3462 0.2712 0.5000  2 Sn 2.88, 1 Na 3.09
Br 0.3104 0.2220 0.0002  1 Sc 2.68
Br 0.1493 0.7702 0.7725  1 Sc 2.68, 1 Na 2.97
Br 0.6896 0.7780 0.9998  1 Sc 2.68
Br 0.6538 0.7288 0.5000  2 Sn 2.88, 1 Na 3.09
Br 0.8507 0.2298 0.2275  1 Sc 2.68, 1 Na 2.97
Na 0.0000 0.0000 0.5000  6 Br 2.97-3.09
Sc 0.0000 0.0000 0.0000  6 Br 2.68

***

Entry 8:
# NaSrScBr6

An optimized crystal structure of NaSrScBr6 (PBE, Alexandria).

Calculated values
* Fermi-level density of states: 0.000 states/eV/cell
* energy relative to the elements, uncorrected: -1.799 eV/atom

Lattice parameters (Å, degrees): 7.3969 7.3969 12.9368 90.00 90.00 120.00
With the nearest neighbours (Å) after each atom.
Positions (direct):
Br 0.6686 0.6289 0.1295  1 Sc 2.68
Br 0.0397 0.6686 0.8705  1 Sc 2.68
Br 0.3314 0.9603 0.6295  1 Sc 2.68
Br 0.9603 0.6289 0.3705  1 Sc 2.68
Br 0.3711 0.3314 0.3705  1 Sc 2.68
Br 0.6686 0.0397 0.3705  1 Sc 2.68
Br 0.9603 0.3314 0.1295  1 Sc 2.68
Br 0.6289 0.9603 0.8705  1 Sc 2.68
Br 0.6289 0.6686 0.6295  1 Sc 2.68
Br 0.0397 0.3711 0.6295  1 Sc 2.68
Br 0.3314 0.3711 0.8705  1 Sc 2.68
Br 0.3711 0.0397 0.1295  1 Sc 2.68
Sr 0.3333 0.6667 0.2500  6 Br 3.06
Sr 0.6667 0.3333 0.7500  6 Br 3.06
Sc 0.3333 0.6667 0.7500  6 Br 2.68
Sc 0.6667 0.3333 0.2500  6 Br 2.68
Na 0.0000 0.0000 0.0000  6 Br 3.10
Na 0.0000 0.0000 0.5000  6 Br 3.10

***

Entry 9:
# NaScTiBr2

An optimized crystal structure of NaScTiBr2 (PBE, Alexandria).

Calculated values
* Fermi-level density of states: 8.408 states/eV/cell
* energy relative to the elements, uncorrected: 0.166 eV/atom

Lattice parameters (Å, degrees): 5.1781 6.9045 5.1781 90.00 90.00 90.00
With the nearest neighbours (Å) after each atom.
Positions (direct):
Sc 0.0000 0.0000 0.0000  4 Br 2.59
Na 0.0000 0.5000 0.0000  2 Sc 3.45, 4 Ti 3.66
Br 0.5000 0.0000 0.0000  2 Sc 2.59
Br 0.0000 0.0000 0.5000  2 Sc 2.59
Ti 0.5000 0.5000 0.5000  4 Na 3.66

***

Entry 10:
# Na2ScTlBr6

An optimized crystal structure of Na2ScTlBr6 (PBE, Alexandria).

Calculated values
* Fermi-level density of states: 0.000 states/eV/cell
* energy relative to the elements, uncorrected: -1.470 eV/atom

Lattice parameters (Å, degrees): 7.4832 7.4825 8.0860 62.43 62.42 59.96
With the nearest neighbours (Å) after each atom.
Positions (direct):
Br 0.1458 0.3752 0.7714  1 Sc 2.70, 1 Na 2.95
Br 0.3751 0.7077 0.7715  1 Sc 2.70, 1 Na 2.95
Br 0.5593 0.2527 0.2286  1 Sc 2.67
Br 0.2527 0.9592 0.2284  1 Sc 2.67
Br 0.9590 0.5597 0.2283  1 Sc 2.67
Br 0.7080 0.1454 0.7716  1 Sc 2.70, 1 Na 2.95
Na 0.0033 0.0034 0.9908  6 Br 2.95-3.07
Na 0.5203 0.5201 0.4395  6 Br 3.02-3.10
Tl 0.8104 0.8105 0.5684  6 Br 3.21-3.49
Sc 0.3278 0.3277 0.0167  6 Br 2.67-2.70

***

Entry 11:
# Na3ScTl3Br8

An optimized crystal structure of Na3ScTl3Br8 (PBE, Alexandria).

Calculated values
* Fermi-level density of states: 6.100 states/eV/cell
* energy relative to the elements, uncorrected: -1.247 eV/atom

Lattice parameters (Å, degrees): 8.5069 8.5024 9.5190 116.47 90.00 120.02
With the nearest neighbours (Å) after each atom.
Positions (direct):
Na 0.0000 0.5000 0.5000  6 Br 2.94-3.03
Na 0.5000 0.5000 0.5000  6 Br 2.94-3.03
Na 0.5000 0.0000 0.5000  6 Br 2.94-3.03
Br 0.7838 0.5675 0.3050  1 Sc 2.74, 2 Na 3.03
Br 0.7327 0.4653 0.6982  3 Na 2.94
Br 0.2377 0.0215 0.3053  1 Sc 2.74, 2 Na 3.03
Br 0.2673 0.5347 0.3018  3 Na 2.94
Br 0.2162 0.4325 0.6950  1 Sc 2.74, 2 Na 3.03
Br 0.2162 0.9785 0.6947  1 Sc 2.74, 2 Na 3.03
Br 0.7623 0.9785 0.6947  1 Sc 2.74, 2 Na 3.03
Br 0.7838 0.0215 0.3053  1 Sc 2.74, 2 Na 3.03
Sc 0.0000 0.0000 0.5000  6 Br 2.74
Tl 0.0000 0.0000 0.0000  6 Br 3.42-3.48
Tl 0.5000 0.5000 0.0000  6 Br 3.42-3.48
Tl 0.0000 0.5000 0.0000  6 Br 3.42-3.48

***

Entry 12:
# NaScVBr2

An optimized crystal structure of NaScVBr2 (PBE, Alexandria).

Calculated values
* Fermi-level density of states: 7.321 states/eV/cell
* energy relative to the elements, uncorrected: 0.573 eV/atom

Lattice parameters (Å, degrees): 5.1695 6.0071 5.1695 90.00 90.00 90.00
With the nearest neighbours (Å) after each atom.
Positions (direct):
Br 0.0000 0.0000 0.5000  2 Na 2.58
Br 0.5000 0.0000 0.0000  2 Na 2.58
V 0.5000 0.5000 0.5000  4 Sc 3.66, 8 Br 3.96
Na 0.0000 0.0000 0.0000  4 Br 2.58
Sc 0.0000 0.5000 0.0000  2 Na 3.00